Density functional theory data (PBE) for an optimized crystal structure of Ho3InO6.

Its size of the total moment is 0.00 μB per formula unit. As for the crystal system: orthorhombic. For the total energy, the calculation gives -0.2814 Ha/atom.

Cell: 7.0571 7.0571 5.5093 Å, 90.00 90.00 102.74°
Last column: nearest neighbours and their distance in Å.
Atoms (fractional coordinates):
Ho (0.1004, 0.8996, 0.5000)  7 O 2.26-2.41
Ho (0.1973, 0.4107, 0.5562)  6 O 2.21-2.46
Ho (0.4107, 0.1973, 0.0562)  6 O 2.21-2.46
Ho (0.5893, 0.8027, 0.5562)  6 O 2.21-2.46
Ho (0.8027, 0.5893, 0.0562)  6 O 2.21-2.46
Ho (0.8996, 0.1004, 0.0000)  7 O 2.26-2.41
In (0.3205, 0.6795, 0.0691)  4 O 2.02-2.12
In (0.6795, 0.3205, 0.5691)  4 O 2.02-2.12
O (0.0683, 0.5994, 0.2786)  1 In 2.09, 2 Ho 2.23-2.34
O (0.1414, 0.1800, 0.2763)  4 Ho 2.21-2.29
O (0.1800, 0.1414, 0.7763)  4 Ho 2.21-2.29
O (0.2787, 0.7213, 0.7113)  1 In 2.02
O (0.4006, 0.9317, 0.2786)  1 In 2.09, 2 Ho 2.23-2.34
O (0.4788, 0.5212, 0.2879)  1 In 2.12
O (0.5212, 0.4788, 0.7879)  1 In 2.12
O (0.5994, 0.0683, 0.7786)  1 In 2.09, 2 Ho 2.23-2.34
O (0.7213, 0.2787, 0.2113)  1 In 2.02
O (0.8200, 0.8586, 0.2763)  4 Ho 2.21-2.29
O (0.8586, 0.8200, 0.7763)  4 Ho 2.21-2.29
O (0.9317, 0.4006, 0.7786)  1 In 2.09, 2 Ho 2.23-2.34

Density functional theory data (PBE) for an optimized crystal structure of LiTcB.

Its size of the total moment is 0.98 μB per formula unit. As for the crystal system: cubic. The excess energy over the best structure of this formula in the dataset is 2.207 eV/f.u.

Cell: 3.6958 3.6958 3.6958 Å, 60.00 60.00 60.00°
Last column: nearest neighbours and their distance in Å.
Atoms (fractional coordinates):
Li (0.0000, 0.0000, 0.0000)  4 Tc 2.26
Tc (0.7500, 0.7500, 0.7500)  4 B 2.26, 4 Li 2.26
B (0.5000, 0.5000, 0.5000)  4 Tc 2.26

Density functional theory data (PBE) for an optimized crystal structure of Tm2AlCoSi.

Its size of the total moment is 0.00 μB per formula unit. As for the crystal system: orthorhombic. For the total energy, the calculation gives -0.2056 Ha/atom.

Cell: 5.4413 5.4413 5.4413 Å, 136.68 77.32 119.48°
Last column: nearest neighbours and their distance in Å.
Atoms (fractional coordinates):
Tm (0.2030, 0.0000, 0.2030)  3 Co 2.89-2.98, 3 Si 2.91-2.95, 3 Al 3.16-3.23
Tm (0.7970, 0.0000, 0.7970)  3 Co 2.89-2.98, 3 Si 2.91-2.95, 3 Al 3.16-3.23
Al (0.5163, 0.5163, 0.0000)  2 Co 2.50, 2 Si 2.58
Co (0.7878, 0.2878, 0.5000)  1 Si 2.37, 2 Al 2.50
Si (0.2207, 0.7207, 0.5000)  1 Co 2.37, 2 Al 2.58

Density functional theory data (PBE) for an optimized crystal structure of TaGeNO.

Its size of the total moment is 0.03 μB per formula unit. As for the crystal system: tetragonal. The excess energy over the best structure of this formula in the dataset is 1.529 eV/f.u.

Cell: 3.9309 3.9309 8.1294 Å, 90.00 90.00 90.00°
Last column: nearest neighbours and their distance in Å.
Atoms (fractional coordinates):
Ta (0.2500, 0.7500, 0.0000)  4 N 2.07
Ta (0.7500, 0.2500, 0.0000)  4 N 2.07
Ge (0.2500, 0.2500, 0.3905)  4 O 2.16
Ge (0.7500, 0.7500, 0.6095)  4 O 2.16
N (0.2500, 0.2500, 0.9194)  4 Ta 2.07
N (0.7500, 0.7500, 0.0806)  4 Ta 2.07
O (0.2500, 0.7500, 0.5000)  4 Ge 2.16
O (0.7500, 0.2500, 0.5000)  4 Ge 2.16

Density functional theory data (PBE) for an optimized crystal structure of NaZnPO4.

As for the crystal system: orthorhombic. The excess energy over the best structure of this formula in the dataset is 0.061 eV/f.u.

Cell: 10.3060 5.1584 7.1248 Å, 90.00 90.00 90.00°
Last column: nearest neighbours and their distance in Å.
Atoms (fractional coordinates):
Na (0.1465, 0.1868, 0.0000)  4 O 2.23-2.30
Na (0.3535, 0.6868, 0.5000)  4 O 2.23-2.30
Na (0.6465, 0.3132, 0.0000)  4 O 2.23-2.30
Na (0.8535, 0.8132, 0.5000)  4 O 2.23-2.30
Zn (0.1494, 0.1833, 0.4974)  4 O 1.94-1.98
Zn (0.3506, 0.6833, 0.9974)  4 O 1.94-1.98
Zn (0.6494, 0.3167, 0.4974)  4 O 1.94-1.98
Zn (0.8506, 0.8167, 0.9974)  4 O 1.94-1.98
P (0.0944, 0.6788, 0.2485)  4 O 1.55
P (0.4056, 0.1788, 0.7485)  4 O 1.55
P (0.5944, 0.8212, 0.2485)  4 O 1.55
P (0.9056, 0.3212, 0.7485)  4 O 1.55
O (0.0502, 0.2478, 0.7236)  1 P 1.55
O (0.1109, 0.3827, 0.2741)  1 P 1.55
O (0.1458, 0.8142, 0.4283)  1 P 1.55
O (0.1688, 0.7607, 0.0689)  1 P 1.55
O (0.3312, 0.2607, 0.5689)  1 P 1.55
O (0.3542, 0.3142, 0.9283)  1 P 1.55
O (0.3891, 0.8827, 0.7741)  1 P 1.55
O (0.4498, 0.7478, 0.2236)  1 P 1.55
O (0.5502, 0.2522, 0.7236)  1 P 1.55
O (0.6109, 0.1173, 0.2741)  1 P 1.55
O (0.6458, 0.6858, 0.4283)  1 P 1.55
O (0.6688, 0.7393, 0.0689)  1 P 1.55
O (0.8312, 0.2393, 0.5689)  1 P 1.55
O (0.8542, 0.1858, 0.9283)  1 P 1.55
O (0.8891, 0.6173, 0.7741)  1 P 1.55
O (0.9498, 0.7522, 0.2236)  1 P 1.55

Density functional theory data (PBE) for an optimized crystal structure of Y5Ni2Bi.

Its size of the total moment is 0.00 μB per formula unit. As for the crystal system: tetragonal. For the total energy, the calculation gives -0.2354 Ha/atom.

Cell: 8.6785 8.6785 8.6785 Å, 127.55 127.55 77.35°
Last column: nearest neighbours and their distance in Å.
Atoms (fractional coordinates):
Y (0.0000, 0.0000, 0.0000)  4 Ni 3.00
Y (0.0181, 0.5181, 0.8101)  3 Ni 2.88-2.96
Y (0.2081, 0.0181, 0.5000)  3 Ni 2.88-2.96
Y (0.2919, 0.7919, 0.8101)  3 Ni 2.88-2.96
Y (0.4819, 0.2919, 0.5000)  3 Ni 2.88-2.96
Y (0.5000, 0.5000, 0.0000)  4 Ni 3.00
Y (0.5181, 0.7081, 0.5000)  3 Ni 2.88-2.96
Y (0.7081, 0.2081, 0.1899)  3 Ni 2.88-2.96
Y (0.7919, 0.9819, 0.5000)  3 Ni 2.88-2.96
Y (0.9819, 0.4819, 0.1899)  3 Ni 2.88-2.96
Ni (0.1320, 0.3680, 0.5000)  1 Ni 2.86, 8 Y 2.88-3.00
Ni (0.3680, 0.8680, 0.2360)  1 Ni 2.86, 8 Y 2.88-3.00
Ni (0.6320, 0.1320, 0.7640)  1 Ni 2.86, 8 Y 2.88-3.00
Ni (0.8680, 0.6320, 0.5000)  1 Ni 2.86, 8 Y 2.88-3.00
Bi (0.2500, 0.2500, 0.0000)  10 Y 3.28-3.39
Bi (0.7500, 0.7500, 0.0000)  10 Y 3.28-3.39

Density functional theory data (PBE) for an optimized crystal structure of NdAuSeO.

Its size of the total moment is 0.00 μB per formula unit. As for the crystal system: monoclinic. For the total energy, the calculation gives -0.2190 Ha/atom.

Cell: 5.8766 5.8706 11.4141 Å, 90.00 92.38 90.00°
Last column: nearest neighbours and their distance in Å.
Atoms (fractional coordinates):
Nd (0.0073, 0.0000, 0.0988)  4 O 2.35-2.37
Nd (0.4925, 0.9999, 0.9018)  4 O 2.35-2.37
Nd (0.5075, 0.4999, 0.0982)  4 O 2.35-2.37
Nd (0.9927, 0.5000, 0.9012)  4 O 2.35-2.37
Au (0.1879, 0.2773, 0.4964)  2 Se 2.42
Au (0.4969, 0.0241, 0.2770)  2 Se 2.46-2.48
Au (0.5031, 0.5241, 0.7230)  2 Se 2.46-2.48
Au (0.8121, 0.7773, 0.5036)  2 Se 2.42
Se (0.1983, 0.3210, 0.2856)  2 Au 2.42-2.48
Se (0.2048, 0.2299, 0.7074)  2 Au 2.42-2.46
Se (0.7952, 0.7299, 0.2926)  2 Au 2.42-2.46
Se (0.8017, 0.8210, 0.7144)  2 Au 2.42-2.48
O (0.2486, 0.7492, 0.0002)  4 Nd 2.35-2.37
O (0.2507, 0.2493, 0.9987)  4 Nd 2.35-2.37
O (0.7493, 0.7493, 0.0013)  4 Nd 2.35-2.37
O (0.7514, 0.2492, 0.9998)  4 Nd 2.35-2.37

Density functional theory data (PBE) for an optimized crystal structure of GdHgSO.

Its size of the total moment is 0.00 μB per formula unit. As for the crystal system: orthorhombic. The excess energy over the best structure of this formula in the dataset is 1.154 eV/f.u.

Cell: 6.9918 7.0980 13.4286 Å, 90.00 90.00 90.00°
Last column: nearest neighbours and their distance in Å.
Atoms (fractional coordinates):
Gd (0.1075, 0.0225, 0.2345)  3 O 2.22-2.30
Gd (0.1075, 0.4775, 0.7345)  3 O 2.22-2.30
Gd (0.3925, 0.5225, 0.2345)  3 O 2.22-2.30
Gd (0.3925, 0.9775, 0.7345)  3 O 2.22-2.30
Gd (0.6075, 0.0225, 0.2655)  3 O 2.22-2.30
Gd (0.6075, 0.4775, 0.7655)  3 O 2.22-2.30
Gd (0.8925, 0.5225, 0.2655)  3 O 2.22-2.30
Gd (0.8925, 0.9775, 0.7655)  3 O 2.22-2.30
Hg (0.0543, 0.2194, 0.5411)  4 S 2.78-2.85
Hg (0.0543, 0.2806, 0.0411)  4 S 2.78-2.85
Hg (0.4457, 0.7194, 0.5411)  4 S 2.78-2.85
Hg (0.4457, 0.7806, 0.0411)  4 S 2.78-2.85
Hg (0.5543, 0.2194, 0.9589)  4 S 2.78-2.85
Hg (0.5543, 0.2806, 0.4589)  4 S 2.78-2.85
Hg (0.9457, 0.7194, 0.9589)  4 S 2.78-2.85
Hg (0.9457, 0.7806, 0.4589)  4 S 2.78-2.85
S (0.2180, 0.0090, 0.9191)  2 Gd 2.77-3.08, 4 Hg 2.78-2.85
S (0.2180, 0.4910, 0.4191)  2 Gd 2.77-3.08, 4 Hg 2.78-2.85
S (0.2820, 0.5090, 0.9191)  2 Gd 2.77-3.08, 4 Hg 2.78-2.85
S (0.2820, 0.9910, 0.4191)  2 Gd 2.77-3.08, 4 Hg 2.78-2.85
S (0.7180, 0.0090, 0.5809)  2 Gd 2.77-3.08, 4 Hg 2.78-2.85
S (0.7180, 0.4910, 0.0809)  2 Gd 2.77-3.08, 4 Hg 2.78-2.85
S (0.7820, 0.5090, 0.5809)  2 Gd 2.77-3.08, 4 Hg 2.78-2.85
S (0.7820, 0.9910, 0.0809)  2 Gd 2.77-3.08, 4 Hg 2.78-2.85
O (0.1355, 0.7015, 0.2143)  3 Gd 2.22-2.30
O (0.1355, 0.7985, 0.7143)  3 Gd 2.22-2.30
O (0.3645, 0.2015, 0.2143)  3 Gd 2.22-2.30
O (0.3645, 0.2985, 0.7143)  3 Gd 2.22-2.30
O (0.6355, 0.7015, 0.2857)  3 Gd 2.22-2.30
O (0.6355, 0.7985, 0.7857)  3 Gd 2.22-2.30
O (0.8645, 0.2015, 0.2857)  3 Gd 2.22-2.30
O (0.8645, 0.2985, 0.7857)  3 Gd 2.22-2.30